# Ho2SnAu2

An optimized crystal structure of Ho2SnAu2 (GGA-PBE, Alexandria).

```
Ho2SnAu2
1.0
-6.593 5.033 -0.579
-3.777 -4.248 6.068
1.455 2.186 2.436
Au Ho Sn
4 4 2
Direct
0.871 0.371 0.000
0.129 0.629 0.000
0.371 0.129 0.000
0.629 0.871 0.000
0.337 0.837 0.500
0.837 0.663 0.500
0.663 0.163 0.500
0.163 0.337 0.500
0.000 0.000 0.500
0.500 0.500 0.500
```

Summary:
- D(E_F): 3.19 states/eV/f.u.
- Formation enthalpy at 0 K: -3.08 eV per formula unit
- Spin magnetization: 0.0 μB/f.u.

# HoSn2Au

An optimized crystal structure of HoSn2Au (GGA-PBE, Alexandria).

```
HoSn2Au
1.0
-1.804 1.523 2.570
0.100 -1.328 3.226
7.592 6.023 4.131
Ho Sn Au
1 2 1
Direct
0.000 0.000 0.000
0.900 0.900 0.300
0.100 0.100 0.700
0.500 0.500 0.500
```

Summary:
- D(E_F): 1.85 states/eV/f.u.
- Formation enthalpy at 0 K: -0.08 eV per formula unit
- Spin magnetization: 0.0 μB/f.u.

# Ho2SnAu2

An optimized crystal structure of Ho2SnAu2 (GGA-PBE, Alexandria).

```
Ho2SnAu2
1.0
3.731 0.000 0.000
0.000 7.934 0.000
0.000 0.000 7.934
Au Ho Sn
4 4 2
Direct
0.000 0.372 0.128
0.000 0.128 0.628
0.000 0.628 0.872
0.000 0.872 0.372
0.500 0.831 0.669
0.500 0.331 0.831
0.500 0.169 0.331
0.500 0.669 0.169
0.000 0.000 0.000
0.000 0.500 0.500
```

Summary:
- D(E_F): 2.02 states/eV/f.u.
- Formation enthalpy at 0 K: -4.24 eV per formula unit
- Spin magnetization: 0.0 μB/f.u.

# Ho3Sn4Au3

An optimized crystal structure of Ho3Sn4Au3 (GGA-PBE, Alexandria).

```
Ho3Sn4Au3
1.0
8.103 0.000 -2.865
-4.051 7.017 -2.865
0.000 0.000 8.594
Au Sn Ho
6 8 6
Direct
0.250 0.375 0.625
0.875 0.625 0.750
0.625 0.875 0.250
0.375 0.250 0.125
0.125 0.750 0.375
0.750 0.125 0.875
0.500 0.823 0.500
0.177 0.677 0.677
0.500 0.323 0.500
0.000 0.000 0.323
0.000 0.000 0.823
0.323 0.500 0.000
0.677 0.177 0.177
0.823 0.500 0.000
0.375 0.125 0.750
0.625 0.750 0.875
0.750 0.625 0.375
0.875 0.250 0.625
0.125 0.375 0.250
0.250 0.875 0.125
```

Summary:
- D(E_F): 7.11 states/eV/f.u.
- Formation enthalpy at 0 K: -6.45 eV per formula unit
- Spin magnetization: 0.0 μB/f.u.

# HoSn2Au8

An optimized crystal structure of HoSn2Au8 (GGA-PBE, Alexandria).

```
HoSn2Au8
1.0
4.186 0.000 0.000
0.000 6.541 0.428
-2.093 -2.420 7.990
Au Sn Ho
8 2 1
Direct
0.589 0.453 0.178
0.871 0.820 0.742
0.129 0.180 0.258
0.674 0.919 0.347
0.958 0.281 0.917
0.326 0.081 0.653
0.411 0.547 0.822
0.042 0.719 0.083
0.218 0.660 0.437
0.782 0.340 0.563
0.500 0.000 0.000
```

Summary:
- D(E_F): 3.54 states/eV/f.u.
- Formation enthalpy at 0 K: -3.02 eV per formula unit
- Spin magnetization: 0.0 μB/f.u.

# Ho4SnAu3

An optimized crystal structure of Ho4SnAu3 (GGA-PBE, Alexandria).

```
Ho4SnAu3
1.0
3.792 0.000 0.000
0.000 4.657 0.000
0.000 0.000 11.170
Ho Sn Au
4 1 3
Direct
0.500 0.500 0.370
0.000 0.000 0.151
0.000 0.500 0.849
0.500 0.000 0.638
0.500 0.500 0.083
0.500 0.000 0.907
0.000 0.500 0.587
0.000 0.000 0.415
```

Summary:
- D(E_F): 5.26 states/eV/f.u.
- Formation enthalpy at 0 K: -6.56 eV per formula unit
- Spin magnetization: 0.0 μB/f.u.

# Ho8Sn2Au

An optimized crystal structure of Ho8Sn2Au (GGA-PBE, Alexandria).

```
Ho8Sn2Au
1.0
-4.066 2.501 -1.443
-3.530 -2.905 4.912
5.495 6.740 4.815
Au Ho Sn
1 8 2
Direct
0.500 0.000 0.000
0.407 0.527 0.814
0.020 0.777 0.039
0.593 0.473 0.186
0.349 0.996 0.697
0.980 0.223 0.961
0.217 0.324 0.435
0.783 0.676 0.565
0.651 0.004 0.303
0.182 0.761 0.364
0.818 0.239 0.636
```

Summary:
- D(E_F): 10.10 states/eV/f.u.
- Formation enthalpy at 0 K: -4.57 eV per formula unit
- Spin magnetization: 0.0 μB/f.u.

# HoSn2Au

An optimized crystal structure of HoSn2Au (GGA-PBE, Alexandria).

```
HoSn2Au
1.0
4.399 0.000 0.000
0.000 4.606 0.000
0.000 0.000 4.606
Sn Au Ho
2 1 1
Direct
0.000 0.500 0.000
0.000 0.000 0.500
0.500 0.000 0.000
0.500 0.500 0.500
```

Summary:
- D(E_F): 2.15 states/eV/f.u.
- Formation enthalpy at 0 K: -2.11 eV per formula unit
- Spin magnetization: 0.0 μB/f.u.

# Ho5SnAu2

An optimized crystal structure of Ho5SnAu2 (GGA-PBE, Alexandria).

```
Ho5SnAu2
1.0
7.233 0.000 -3.414
-1.612 7.051 -3.414
-0.333 -0.418 8.662
Ho Au Sn
10 4 2
Direct
0.801 0.987 0.288
0.699 0.199 0.712
0.000 0.000 0.000
0.513 0.699 0.712
0.013 0.513 0.712
0.487 0.301 0.288
0.987 0.487 0.288
0.199 0.013 0.712
0.301 0.801 0.288
0.500 0.500 0.000
0.136 0.364 0.000
0.364 0.864 0.000
0.864 0.636 0.000
0.636 0.136 0.000
0.750 0.750 0.500
0.250 0.250 0.500
```

Summary:
- D(E_F): 9.33 states/eV/f.u.
- Formation enthalpy at 0 K: -5.45 eV per formula unit
- Spin magnetization: 0.0 μB/f.u.

# HoSnAu

An optimized crystal structure of HoSnAu (GGA-PBE, Alexandria).

```
HoSnAu
1.0
4.697 0.000 0.000
-2.348 4.068 0.000
0.000 0.000 7.424
Au Sn Ho
2 2 2
Direct
0.333 0.667 0.811
0.667 0.333 0.311
0.667 0.333 0.708
0.333 0.667 0.208
0.000 0.000 0.981
0.000 0.000 0.481
```

Summary:
- D(E_F): 0.20 states/eV/f.u.
- Formation enthalpy at 0 K: -2.43 eV per formula unit
- Spin magnetization: 0.0 μB/f.u.

# Ho6SnAu5

An optimized crystal structure of Ho6SnAu5 (GGA-PBE, Alexandria).

```
Ho6SnAu5
1.0
-4.468 -2.221 1.040
-2.071 0.935 -6.897
6.238 -6.180 1.112
Ho Au Sn
6 5 1
Direct
0.830 0.085 0.660
0.170 0.425 0.340
0.500 0.740 0.000
0.500 0.260 0.000
0.170 0.915 0.340
0.830 0.575 0.660
0.664 0.164 0.329
0.000 0.500 0.000
0.336 0.836 0.671
0.666 0.666 0.331
0.334 0.334 0.669
0.000 0.000 0.000
```

Summary:
- D(E_F): 6.21 states/eV/f.u.
- Formation enthalpy at 0 K: -9.91 eV per formula unit
- Spin magnetization: 0.0 μB/f.u.

# SrHoSnAu

An optimized crystal structure of SrHoSnAu (GGA-PBE, Alexandria).

```
SrHoSnAu
1.0
5.382 0.000 0.000
2.691 4.661 0.000
2.691 1.554 4.394
Au Ho Sr Sn
1 1 1 1
Direct
0.750 0.750 0.750
0.000 0.000 0.000
0.500 0.500 0.500
0.250 0.250 0.250
```

Summary:
- D(E_F): 1.48 states/eV/f.u.
- Formation enthalpy at 0 K: -2.67 eV per formula unit
- Spin magnetization: 0.0 μB/f.u.